No. 1
Here is a relaxed Tl2Sb2Br crystal from the Alexandria database. Energies are from PBE-GGA.

a = 10.155 Å, b = 10.155 Å, c = 3.324 Å
α = 90.00°, β = 90.00°, γ = 90.00°
Fractional coordinates of all 10 atoms:
Tl (0.192, 0.308, 0.000)
Tl (0.308, 0.808, 0.000)
Tl (0.692, 0.192, 0.000)
Tl (0.808, 0.692, 0.000)
Sb (0.098, 0.598, 0.500)
Sb (0.402, 0.098, 0.500)
Sb (0.598, 0.902, 0.500)
Sb (0.902, 0.402, 0.500)
Br (0.000, 0.000, 0.000)
Br (0.500, 0.500, 0.000)

As for the energy above the most stable polymorph in this dataset: 0.243 eV per atom. As for the space group: P4/mbm, No. 127. The uncorrected formation energy is -25 meV per atom.

No. 2
Here is a relaxed Tl6SbBr12 crystal from the Alexandria database. Energies are from PBE-GGA.

a = 9.493 Å, b = 9.493 Å, c = 9.493 Å
α = 100.42°, β = 100.42°, γ = 100.42°
Fractional coordinates of all 19 atoms:
Tl (0.085, 0.855, 0.653)
Tl (0.145, 0.347, 0.915)
Tl (0.347, 0.915, 0.145)
Tl (0.653, 0.085, 0.855)
Tl (0.855, 0.653, 0.085)
Tl (0.915, 0.145, 0.347)
Sb (0.500, 0.500, 0.500)
Br (0.100, 0.889, 0.330)
Br (0.111, 0.670, 0.900)
Br (0.241, 0.378, 0.536)
Br (0.330, 0.100, 0.889)
Br (0.378, 0.536, 0.241)
Br (0.464, 0.759, 0.622)
Br (0.536, 0.241, 0.378)
Br (0.622, 0.464, 0.759)
Br (0.670, 0.900, 0.111)
Br (0.759, 0.622, 0.464)
Br (0.889, 0.330, 0.100)
Br (0.900, 0.111, 0.670)

As for the space group: R-3, No. 148. The uncorrected formation energy is -626 meV per atom.

No. 3
Here is a relaxed Tl3SbBr crystal from the Alexandria database. Energies are from PBE-GGA.

a = 6.023 Å, b = 6.023 Å, c = 6.023 Å
α = 90.00°, β = 90.00°, γ = 90.00°
Fractional coordinates of all 5 atoms:
Tl (0.000, 0.000, 0.500)
Tl (0.000, 0.500, 0.000)
Tl (0.500, 0.000, 0.000)
Sb (0.500, 0.500, 0.500)
Br (0.000, 0.000, 0.000)

As for the energy above the most stable polymorph in this dataset: 0.123 eV per atom. As for the space group: Pm-3m, No. 221. The uncorrected formation energy is 143 meV per atom.

No. 4
Here is a relaxed TlSbBr crystal from the Alexandria database. Energies are from PBE-GGA.

a = 7.677 Å, b = 7.677 Å, c = 7.677 Å
α = 153.79°, β = 153.79°, γ = 37.41°
Fractional coordinates of all 3 atoms:
Tl (0.000, 0.000, 0.000)
Sb (0.680, 0.680, 0.000)
Br (0.350, 0.350, 0.000)

As for the energy above the most stable polymorph in this dataset: 0.313 eV per atom. As for the space group: I4mm, No. 107. The uncorrected formation energy is -16 meV per atom.

No. 5
Here is a relaxed TlSbBr5 crystal from the Alexandria database. Energies are from PBE-GGA.

a = 7.745 Å, b = 7.745 Å, c = 10.990 Å
α = 110.46°, β = 110.46°, γ = 71.32°
Fractional coordinates of all 14 atoms:
Tl (0.035, 0.965, 0.750)
Tl (0.965, 0.035, 0.250)
Sb (0.500, 0.500, 0.000)
Sb (0.500, 0.500, 0.500)
Br (0.169, 0.760, 0.014)
Br (0.222, 0.312, 0.379)
Br (0.240, 0.831, 0.486)
Br (0.312, 0.222, 0.879)
Br (0.432, 0.568, 0.750)
Br (0.568, 0.432, 0.250)
Br (0.688, 0.778, 0.121)
Br (0.760, 0.169, 0.514)
Br (0.778, 0.688, 0.621)
Br (0.831, 0.240, 0.986)

As for the energy above the most stable polymorph in this dataset: 0.011 eV per atom. As for the space group: C2/c, No. 15. The uncorrected formation energy is -533 meV per atom.

No. 6
Here is a relaxed TlSbBr crystal from the Alexandria database. Energies are from PBE-GGA.

a = 5.240 Å, b = 5.240 Å, c = 5.240 Å
α = 60.00°, β = 60.00°, γ = 60.00°
Fractional coordinates of all 3 atoms:
Tl (0.000, 0.000, 0.000)
Sb (0.750, 0.750, 0.750)
Br (0.500, 0.500, 0.500)

As for the energy above the most stable polymorph in this dataset: 0.386 eV per atom. As for the space group: F-43m, No. 216. The uncorrected formation energy is 57 meV per atom.

No. 7
Here is a relaxed TlSbBr crystal from the Alexandria database. Energies are from PBE-GGA.

a = 3.641 Å, b = 3.641 Å, c = 7.604 Å
α = 90.00°, β = 90.00°, γ = 120.00°
Fractional coordinates of all 3 atoms:
Tl (0.000, 0.000, 0.000)
Sb (0.333, 0.667, 0.647)
Br (0.667, 0.333, 0.325)

As for the energy above the most stable polymorph in this dataset: 0.309 eV per atom. As for the space group: P3m1, No. 156. The uncorrected formation energy is -20 meV per atom.

No. 8
Here is a relaxed Tl2SbBr4 crystal from the Alexandria database. Energies are from PBE-GGA.

a = 9.020 Å, b = 9.020 Å, c = 9.020 Å
α = 141.67°, β = 141.67°, γ = 55.32°
Fractional coordinates of all 7 atoms:
Tl (0.129, 0.129, 0.000)
Tl (0.871, 0.871, 0.000)
Sb (0.500, 0.500, 0.000)
Br (0.000, 0.500, 0.500)
Br (0.323, 0.323, 0.000)
Br (0.500, 0.000, 0.500)
Br (0.677, 0.677, 0.000)

As for the space group: I4/mmm, No. 139. The uncorrected formation energy is -589 meV per atom.

No. 9
Here is a relaxed Tl2SbBr5 crystal from the Alexandria database. Energies are from PBE-GGA.

a = 7.505 Å, b = 7.505 Å, c = 8.159 Å
α = 121.49°, β = 121.49°, γ = 65.50°
Fractional coordinates of all 8 atoms:
Tl (0.000, 0.000, 0.000)
Tl (0.501, 0.501, 0.476)
Sb (0.678, 0.678, 0.141)
Br (0.420, 0.910, 0.886)
Br (0.445, 0.934, 0.398)
Br (0.910, 0.420, 0.886)
Br (0.934, 0.445, 0.398)
Br (0.935, 0.935, 0.371)

As for the energy above the most stable polymorph in this dataset: 0.014 eV per atom. As for the space group: Cm, No. 8. The uncorrected formation energy is -715 meV per atom.

No. 10
Here is a relaxed TlSb2Br8 crystal from the Alexandria database. Energies are from PBE-GGA.

a = 8.207 Å, b = 8.207 Å, c = 7.609 Å
α = 94.67°, β = 94.67°, γ = 92.99°
Fractional coordinates of all 11 atoms:
Tl (0.000, 0.000, 0.000)
Sb (0.299, 0.299, 0.441)
Sb (0.701, 0.701, 0.559)
Br (0.022, 0.349, 0.272)
Br (0.172, 0.172, 0.737)
Br (0.349, 0.022, 0.272)
Br (0.477, 0.477, 0.236)
Br (0.523, 0.523, 0.764)
Br (0.651, 0.978, 0.728)
Br (0.828, 0.828, 0.263)
Br (0.978, 0.651, 0.728)

As for the space group: C2/m, No. 12. The uncorrected formation energy is -531 meV per atom.

No. 11
Here is a relaxed Tl5Sb2Br12 crystal from the Alexandria database. Energies are from PBE-GGA.

a = 9.924 Å, b = 9.924 Å, c = 10.399 Å
α = 107.50°, β = 107.50°, γ = 49.86°
Fractional coordinates of all 19 atoms:
Tl (0.000, 0.000, 0.000)
Tl (0.281, 0.281, 0.123)
Tl (0.313, 0.313, 0.685)
Tl (0.687, 0.687, 0.315)
Tl (0.719, 0.719, 0.877)
Sb (0.253, 0.747, 0.500)
Sb (0.747, 0.253, 0.500)
Br (0.004, 0.004, 0.690)
Br (0.099, 0.574, 0.415)
Br (0.115, 0.626, 0.943)
Br (0.374, 0.885, 0.057)
Br (0.426, 0.901, 0.585)
Br (0.493, 0.493, 0.304)
Br (0.507, 0.507, 0.696)
Br (0.574, 0.099, 0.415)
Br (0.626, 0.115, 0.943)
Br (0.885, 0.374, 0.057)
Br (0.901, 0.426, 0.585)
Br (0.996, 0.996, 0.310)

As for the space group: C2/m, No. 12. The uncorrected formation energy is -678 meV per atom.

No. 12
Here is a relaxed Tl2Sb2Br7 crystal from the Alexandria database. Energies are from PBE-GGA.

a = 7.734 Å, b = 7.734 Å, c = 7.214 Å
α = 93.94°, β = 93.94°, γ = 71.91°
Fractional coordinates of all 11 atoms:
Tl (0.224, 0.776, 0.000)
Tl (0.776, 0.224, 0.000)
Sb (0.234, 0.234, 0.584)
Sb (0.766, 0.766, 0.416)
Br (0.000, 0.000, 0.500)
Br (0.065, 0.502, 0.261)
Br (0.441, 0.441, 0.734)
Br (0.498, 0.935, 0.739)
Br (0.502, 0.065, 0.261)
Br (0.559, 0.559, 0.266)
Br (0.935, 0.498, 0.739)

As for the space group: C2/m, No. 12. The uncorrected formation energy is -575 meV per atom.

Energy for every record listed, in sequence, given in eV per atom: -2.955 -2.647 -2.436 -2.737 -2.655 -2.663 -2.740 -2.810 -2.868 -2.713 -2.791 -2.819.